(1)
# Gd2HoAl2Zn3Cd PBE optimized geometry
# total moment	0.00	Bohr magnetons per cell
# density	7259	kg/m3
# energy	-3.274	eV per atom
data_Gd2HoAl2Zn3Cd
_chemical_formula_sum 'Gd2 Ho1 Al2 Zn3 Cd1'
_space_group_name_H-M_alt 'P 1'
_space_group_IT_number 1
_space_group_name_Hall 'P 1'
_cell_length_a 4.474
_cell_length_b 7.041
_cell_length_c 7.041
_cell_angle_alpha 119.72
_cell_angle_beta 90.00
_cell_angle_gamma 90.00
loop_
_atom_site_label
_atom_site_fract_x
_atom_site_fract_y
_atom_site_fract_z
Al1 0.500 0.666 0.335
Al2 0.500 0.335 0.666
Cd1 0.000 0.997 0.997
Gd1 0.000 0.430 0.001
Gd2 0.000 0.001 0.430
Ho1 0.000 0.570 0.570
Zn1 0.500 0.250 0.250
Zn2 0.500 0.000 0.751
Zn3 0.500 0.751 0.000

=====

(2)
# Gd3Mg3AlCdIn PBE optimized geometry
# total moment	0.02	Bohr magnetons per cell
# density	5879	kg/m3
# energy	-3.239	eV per atom
data_Gd3Mg3AlCdIn
_chemical_formula_sum 'Gd3 Mg3 Al1 Cd1 In1'
_space_group_name_H-M_alt 'P 1'
_space_group_IT_number 1
_space_group_name_Hall 'P 1'
_cell_length_a 7.523
_cell_length_b 7.523
_cell_length_c 4.604
_cell_angle_alpha 90.00
_cell_angle_beta 90.00
_cell_angle_gamma 120.00
loop_
_atom_site_label
_atom_site_fract_x
_atom_site_fract_y
_atom_site_fract_z
Al1 0.333 0.667 0.000
Cd1 0.667 0.333 0.500
Gd1 0.098 0.341 0.500
Gd2 0.659 0.756 0.500
Gd3 0.244 0.902 0.500
In1 0.000 0.000 0.000
Mg1 0.662 0.088 0.000
Mg2 0.426 0.338 0.000
Mg3 0.912 0.574 0.000